[1]
Here is a geometry-optimized SrTaPt structure from Alexandria. Energies are from PBE.

```
SrTaPt
1.0
0.0000 3.3581 3.3581
3.3581 0.0000 3.3581
3.3581 3.3581 0.0000
Sr Ta Pt
1 1 1
Direct
0.0000 0.0000 0.0000 Sr
0.7500 0.7500 0.7500 Ta
0.2500 0.2500 0.2500 Pt
```

Values from the calculation:
**Offset from the most stable computed form**: 1917.7 meV per atom
**ΔH_f (0 K)**: 1605 meV per atom


[2]
Here is a geometry-optimized Sr2TaPt structure from Alexandria. Energies are from PBE.

```
Sr2TaPt
1.0
3.2653 -4.7573 0.0000
3.2653 4.7573 0.0000
0.0000 0.0000 3.2418
Sr Ta Pt
2 1 1
Direct
0.0000 0.5000 0.0000 Sr
0.5000 0.0000 0.0000 Sr
0.0000 0.0000 0.5000 Ta
0.5000 0.5000 0.5000 Pt
```

Values from the calculation:
**Offset from the most stable computed form**: 577.8 meV per atom
**ΔH_f (0 K)**: 561 meV per atom